Compound: Th2SnRh4
Source: the Alexandria database
Functional: PBE-GGA
Structure: relaxed

Crystal system: tetragonal

abc: 4.939 4.939 13.686
angles: 90.00 90.00 90.00
Space group I4/mmm (No. 139)
Inequivalent atoms, fractional coordinates:
Th: 0.000 0.000 0.137 [4 per cell]
Sn: 0.000 0.000 0.500 [2 per cell]
Rh: 0.000 0.000 0.310 [4 per cell]
Rh: 0.000 0.500 0.000 [4 per cell]

---

Compound: ThSnRh
Source: the Alexandria database
Functional: PBE-GGA
Structure: relaxed

Crystal system: hexagonal

abc: 7.5712 7.5712 4.1309
angles: 90.00 90.00 120.00
Space group P-62m (No. 189)
Inequivalent atoms, fractional coordinates:
Th: 0.0000 0.4130 0.0000 [3 per cell]
Sn: 0.0000 0.7496 0.5000 [3 per cell]
Rh: 0.0000 0.0000 0.0000 [1 per cell]
Rh: 0.3333 0.6667 0.5000 [2 per cell]

---

Compound: ThSnRh3
Source: the Alexandria database
Functional: PBE-GGA
Structure: relaxed

Crystal system: monoclinic
ΔE to the lowest computed polymorph (meV per atom): 0

abc: 4.810 5.894 6.961
angles: 90.00 101.53 90.00
Space group P2_1/m (No. 11)
Inequivalent atoms, fractional coordinates:
Th: 0.197 0.250 0.157 [2 per cell]
Sn: 0.282 0.750 0.398 [2 per cell]
Rh: 0.224 0.016 0.692 [4 per cell]
Rh: 0.369 0.750 0.035 [2 per cell]

---

Let's list DFT formation energy in order: -259 -930 -668 meV/atom.
Let's list spin magnetization in order: 0.00 0.00 0.00 Bohr magnetons per cell.